Density functional theory data (PBE) for a relaxed ZrScCd crystal.

Values from the calculation:
**ΔH_f (0 K)**: -0.243 eV/f.u.
**Offset from the most stable computed form**: 0.31 eV/f.u.
**Total magnetization**: 0.000 μB per formula unit
**DFT total energy**: -0.1965 hartree per atom
**Crystal system**: monoclinic

Structure (POSCAR):
```
ZrScCd
1.0
3.203 0.000 0.000
0.000 3.200 0.000
-1.576 0.000 13.661
Zr Sc Cd
2 2 2
Direct
0.206 0.250 0.416
0.794 0.750 0.584
0.373 0.250 0.747
0.627 0.750 0.253
0.047 0.250 0.093
0.953 0.750 0.907
```